Entry 1:
An optimized crystal structure of PrPIrO, computed with PBE.

Cell lengths 4.010, 4.010, 8.497 Å; angles 90.00, 90.00, 90.00 degrees
Sites, in units of the cell vectors:
Ir 0.500 0.000 0.501
Ir 0.000 0.500 0.501
O 0.500 0.000 0.999
O 0.000 0.500 0.999
P 0.500 0.500 0.349
P 0.000 0.000 0.653
Pr 0.000 0.000 0.143
Pr 0.500 0.500 0.854

Calculated values
The value obtained for the density is 9.24 Mg/m³. For the energy above the most stable polymorph in this dataset, the calculation gives 0 meV per atom.

---

Entry 2:
An optimized crystal structure of Ag2SnHgTe2S2, computed with PBE.

Cell lengths 7.579, 7.579, 6.196 Å; angles 113.20, 113.20, 47.87 degrees
Sites, in units of the cell vectors:
Ag 0.755 0.742 0.301
Ag 0.258 0.245 0.699
Hg 0.011 0.989 0.000
S 0.377 0.860 0.378
S 0.140 0.623 0.622
Sn 0.475 0.525 0.500
Te 0.605 0.121 0.124
Te 0.879 0.395 0.876

Calculated values
The value obtained for the density is 5.96 Mg/m³. For the energy above the most stable polymorph in this dataset, the calculation gives 0 meV per atom.

---

Entry 3:
An optimized crystal structure of LiAlPdPb, computed with PBE.

Cell lengths 4.668, 4.668, 4.668 Å; angles 60.00, 60.00, 60.00 degrees
Sites, in units of the cell vectors:
Al 0.250 0.250 0.250
Li 0.750 0.750 0.750
Pb 0.500 0.500 0.500
Pd 0.000 0.000 0.000

Calculated values
The value obtained for the density is 8.02 Mg/m³. For the energy above the most stable polymorph in this dataset, the calculation gives 42 meV per atom.

---

Entry 4:
An optimized crystal structure of Ba2HfB, computed with PBE.

Cell lengths 5.313, 5.313, 5.313 Å; angles 60.00, 60.00, 60.00 degrees
Sites, in units of the cell vectors:
B 0.750 0.750 0.750
Ba 0.000 0.000 0.000
Ba 0.250 0.250 0.250
Hf 0.500 0.500 0.500

Calculated values
The value obtained for the density is 7.27 Mg/m³. The total energy is -3.7574 eV per atom.

---

Entry 5:
An optimized crystal structure of TbHoPa, computed with PBE.

Cell lengths 5.252, 5.252, 5.252 Å; angles 60.00, 60.00, 60.00 degrees
Sites, in units of the cell vectors:
Ho 0.000 0.000 0.000
Pa 0.250 0.250 0.250
Tb 0.750 0.750 0.750

Calculated values
The value obtained for the formation energy is 1.088 eV per atom. The value obtained for the density is 8.99 Mg/m³. For the energy above the most stable polymorph in this dataset, the calculation gives 0 meV per atom.

---

Entry 6:
An optimized crystal structure of YGaMo, computed with PBE.

Cell lengths 4.771, 4.771, 4.771 Å; angles 60.00, 60.00, 60.00 degrees
Sites, in units of the cell vectors:
Ga 0.250 0.250 0.250
Mo 0.750 0.750 0.750
Y 0.000 0.000 0.000

Calculated values
The value obtained for the density is 5.51 Mg/m³. The total energy is -5.7040 eV per atom.

---

Entry 7:
An optimized crystal structure of P5AuF2, computed with PBE.

Cell lengths 9.509, 9.509, 9.509 Å; angles 161.37, 151.30, 34.44 degrees
Sites, in units of the cell vectors:
Au 0.649 0.649 0.000
F 0.051 0.051 0.000
F 0.248 0.248 0.000
P 0.152 0.152 0.000
P 0.172 0.892 0.280
P 0.837 0.337 0.500
P 0.497 0.997 0.500
P 0.611 0.892 0.720

Calculated values
The value obtained for the density is 4.91 Mg/m³. The total energy is -4.5219 eV per atom.

---

Entry 8:
An optimized crystal structure of Tc2BO4, computed with PBE.

Cell lengths 5.602, 5.602, 5.602 Å; angles 120.00, 89.99, 120.00 degrees
Sites, in units of the cell vectors:
B 0.000 0.000 0.000
B 0.750 0.500 0.250
O 0.108 0.215 0.323
O 0.642 0.715 0.358
O 0.073 0.715 0.358
O 0.642 0.285 0.358
O 0.108 0.215 0.892
O 0.677 0.785 0.892
O 0.108 0.785 0.892
O 0.642 0.285 0.927
Tc 0.375 0.750 0.125
Tc 0.875 0.250 0.625
Tc 0.375 0.750 0.625
Tc 0.375 0.250 0.625

Calculated values
The value obtained for the density is 7.24 Mg/m³. The total energy is -8.0911 eV per atom.

---

Entry 9:
An optimized crystal structure of NbFeSiAu, computed with PBE.

Cell lengths 4.422, 4.422, 4.422 Å; angles 60.00, 60.00, 60.00 degrees
Sites, in units of the cell vectors:
Au 0.500 0.500 0.500
Fe 0.750 0.750 0.750
Nb 0.250 0.250 0.250
Si 0.000 0.000 0.000

Calculated values
The value obtained for the density is 10.15 Mg/m³. For the energy above the most stable polymorph in this dataset, the calculation gives 0 meV per atom.

---

Entry 10:
An optimized crystal structure of TbDyZn2As2O2, computed with PBE.

Cell lengths 3.956, 3.956, 8.897 Å; angles 90.00, 90.00, 90.00 degrees
Sites, in units of the cell vectors:
As 0.000 0.000 0.317
As 0.500 0.500 0.683
Dy 0.000 0.000 0.877
O 0.500 0.000 0.999
O 0.000 0.500 0.999
Tb 0.500 0.500 0.124
Zn 0.500 0.000 0.500
Zn 0.000 0.500 0.500

Calculated values
The value obtained for the density is 7.56 Mg/m³. The total energy is -5.7051 eV per atom.

---

Entry 11:
An optimized crystal structure of TePd16, computed with PBE.

Cell lengths 4.760, 7.247, 27.865 Å; angles 89.91, 89.67, 89.99 degrees
Sites, in units of the cell vectors:
Pd 0.402 0.034 0.256
Pd 0.569 0.679 0.269
Pd 0.758 0.318 0.284
Pd 0.905 0.959 0.300
Pd 0.076 0.611 0.317
Pd 0.249 0.249 0.335
Pd 0.415 0.892 0.350
Pd 0.585 0.537 0.365
Pd 0.751 0.178 0.382
Pd 0.918 0.822 0.397
Pd 0.084 0.466 0.413
Pd 0.249 0.107 0.429
Pd 0.420 0.751 0.445
Pd 0.585 0.394 0.461
Pd 0.749 0.037 0.476
Pd 0.918 0.679 0.492
Pd 0.082 0.321 0.508
Pd 0.251 0.963 0.524
Pd 0.415 0.606 0.539
Pd 0.580 0.249 0.555
Pd 0.751 0.893 0.571
Pd 0.916 0.534 0.587
Pd 0.082 0.178 0.603
Pd 0.249 0.822 0.618
Pd 0.416 0.463 0.635
Pd 0.585 0.108 0.650
Pd 0.751 0.751 0.665
Pd 0.924 0.389 0.683
Pd 0.095 0.041 0.700
Pd 0.242 0.682 0.716
Pd 0.431 0.321 0.731
Pd 0.598 0.966 0.744
Te 0.259 0.389 0.244
Te 0.741 0.611 0.756

Calculated values
The value obtained for the density is 6.32 Mg/m³. For the energy above the most stable polymorph in this dataset, the calculation gives 43 meV per atom.

---

Entry 12:
An optimized crystal structure of TlMo4N3, computed with PBE.

Cell lengths 3.265, 3.265, 22.579 Å; angles 90.00, 90.00, 120.00 degrees
Sites, in units of the cell vectors:
Mo 0.333 0.667 0.055
Mo 0.000 0.000 0.142
Mo 0.000 0.000 0.358
Mo 0.333 0.667 0.445
Mo 0.667 0.333 0.555
Mo 0.000 0.000 0.642
Mo 0.000 0.000 0.858
Mo 0.667 0.333 0.945
N 0.000 0.000 0.000
N 0.667 0.333 0.111
N 0.667 0.333 0.389
N 0.000 0.000 0.500
N 0.333 0.667 0.611
N 0.333 0.667 0.889
Tl 0.333 0.667 0.250
Tl 0.667 0.333 0.750

Calculated values
The value obtained for the density is 10.04 Mg/m³. The total energy is -8.7939 eV per atom.

---

Copy entry 12 word for word.
An optimized crystal structure of TlMo4N3, computed with PBE.

Cell lengths 3.265, 3.265, 22.579 Å; angles 90.00, 90.00, 120.00 degrees
Sites, in units of the cell vectors:
Mo 0.333 0.667 0.055
Mo 0.000 0.000 0.142
Mo 0.000 0.000 0.358
Mo 0.333 0.667 0.445
Mo 0.667 0.333 0.555
Mo 0.000 0.000 0.642
Mo 0.000 0.000 0.858
Mo 0.667 0.333 0.945
N 0.000 0.000 0.000
N 0.667 0.333 0.111
N 0.667 0.333 0.389
N 0.000 0.000 0.500
N 0.333 0.667 0.611
N 0.333 0.667 0.889
Tl 0.333 0.667 0.250
Tl 0.667 0.333 0.750

Calculated values
The value obtained for the density is 10.04 Mg/m³. The total energy is -8.7939 eV per atom.